Record 1
A plane-wave DFT calculation with GGA-PBEsol was carried out for an optimized crystal structure of CaTaAg2.

Computed properties:
Excess energy over the best structure of this formula in the dataset: 146 meV per atom
ΔE_f: 0.3964 eV per atom

Cell and atoms, written as POSCAR:
```
CaTaAg2
1.0
2.8418 0.0000 0.0000
-1.4209 4.6164 0.0120
0.0000 -0.6748 6.2304
Ca Ag Ta
1 2 1
direct
0.0000 0.0000 0.5000
0.7546 0.5091 0.7977
0.2454 0.4909 0.2023
0.5000 0.0000 0.0000
```



Record 2
A plane-wave DFT calculation with GGA-PBEsol was carried out for an optimized crystal structure of BaGd2ZnO5.

Computed properties:
Raw formation energy: -2.870 eV/atom

Cell and atoms, written as POSCAR:
```
BaGd2ZnO5
1.0
-2.7316 -2.1316 4.5729
-1.7481 -5.7883 -3.7423
10.4745 -5.5394 3.6749
Ba Gd Zn O
4 8 4 20
direct
0.7500 0.0766 0.1002
0.7500 0.4234 0.6002
0.2500 0.5766 0.3998
0.2500 0.9234 0.8998
0.2500 0.3993 0.0747
0.7500 0.6191 0.2074
0.7500 0.8809 0.7074
0.2500 0.1191 0.2926
0.7500 0.6007 0.9253
0.7500 0.8993 0.4253
0.2500 0.1007 0.5747
0.2500 0.3809 0.7926
0.2500 0.8086 0.1505
0.7500 0.1914 0.8495
0.7500 0.3086 0.3495
0.2500 0.6914 0.6505
0.2500 0.4281 0.5997
0.7500 0.5719 0.4003
0.7500 0.9281 0.9003
0.2500 0.0719 0.0997
0.0026 0.8562 0.2754
0.5026 0.1438 0.7246
0.9974 0.3562 0.2246
0.4974 0.6438 0.7754
0.9974 0.1438 0.7246
0.4974 0.8562 0.2754
0.0026 0.6438 0.7754
0.5026 0.3562 0.2246
0.4960 0.6679 0.0650
0.9960 0.3321 0.9350
0.5040 0.1679 0.4350
0.0040 0.8321 0.5650
0.9960 0.1679 0.4350
0.4960 0.8321 0.5650
0.0040 0.6679 0.0650
0.5040 0.3321 0.9350
```



VASP energy values (in eV/cell) by entry order: -19.721, -338.820.
DOS at the Fermi energy values (in states/eV/f.u.) by entry order: 2.35, 0.00.